(1)
Here is crystalline NaSr2Ca at its relaxed geometry from the Alexandria database. Energies are from PBE.

Summary:
- distance to the lowest polymorph of the same formula (kcal/mol of atoms) = 0.76
- E_form (eV/f.u.) = 0.2
- DFT total energy (eV/atom) = -1.620

a b c (Å): 6.463 6.463 6.463
angles (deg): 60.00 60.00 60.00
Positions (direct):
Ca1 0.500 0.500 0.500
Sr1 0.250 0.250 0.250
Sr2 0.750 0.750 0.750
Na1 0.000 0.000 0.000

(2)
Here is crystalline Na3BO3 at its relaxed geometry from the Alexandria database. Energies are from PBE.

Summary:
- distance to the lowest polymorph of the same formula (kcal/mol of atoms) = 0.00
- DFT total energy (eV/atom) = -5.613

a b c (Å): 7.544 5.729 9.711
angles (deg): 56.56 90.00 90.00
Positions (direct):
Na1 0.527 0.209 0.043
Na2 0.027 0.791 0.457
Na3 0.149 0.051 0.069
Na4 0.219 0.402 0.223
Na5 0.781 0.598 0.777
Na6 0.351 0.051 0.569
Na7 0.973 0.209 0.543
Na8 0.719 0.598 0.277
Na9 0.473 0.791 0.957
Na10 0.649 0.949 0.431
Na11 0.851 0.949 0.931
Na12 0.281 0.402 0.723
O1 0.852 0.060 0.128
O2 0.268 0.488 0.951
O3 0.732 0.512 0.049
O4 0.148 0.940 0.872
O5 0.415 0.751 0.207
O6 0.915 0.249 0.293
O7 0.648 0.060 0.628
O8 0.768 0.512 0.549
O9 0.232 0.488 0.451
O10 0.085 0.751 0.707
O11 0.585 0.249 0.793
O12 0.352 0.940 0.372
B1 0.662 0.277 0.654
B2 0.162 0.723 0.846
B3 0.838 0.277 0.154
B4 0.338 0.723 0.346

(3)
Here is crystalline K2RbTaS4 at its relaxed geometry from the Alexandria database. Energies are from PBE.

Summary:
- DFT total energy (eV/atom) = -5.116

a b c (Å): 9.109 9.071 7.827
angles (deg): 115.23 115.71 87.26
Positions (direct):
S1 0.833 0.174 0.024
S2 0.788 0.803 0.538
S3 0.674 0.333 0.483
S4 0.760 0.772 0.999
S5 0.359 0.657 0.489
S6 0.273 0.261 0.035
S7 0.303 0.288 0.553
S8 0.157 0.859 0.027
K1 0.494 0.994 0.494
K2 0.481 0.981 0.981
K3 0.981 0.061 0.482
K4 0.561 0.481 0.058
Rb1 0.005 0.504 0.005
Rb2 0.032 0.533 0.533
Ta1 0.409 0.390 0.399
Ta2 0.890 0.909 0.900